# 1
Th3Zn7Ag2 | PBE-GGA | optimized geometry

Values from the calculation:
**Volume**: 238.35 Å³/f.u.
**Fermi-level density of states**: 8.147 states/eV/f.u.
**DFT total energy**: -3.276 eV/atom
**DFT formation energy**: -0.2031 eV/atom

The structure in extended XYZ format:
```
12
Lattice="-3.402 -3.529 2.591 0.174 -5.408 -1.207 5.071 -4.209 6.856" Properties=species:S:1:pos:R:3 pbc="T T T"
Ag -2.109 -5.967 0.968
Ag 3.951 -7.179 7.273
Zn 0.016 -7.505 1.662
Zn 3.653 -6.601 4.638
Zn 0.921 -6.573 4.120
Zn 1.826 -5.640 6.579
Zn 1.915 -8.404 5.962
Zn -1.811 -6.545 3.603
Zn -0.072 -4.742 2.279
Th 0.000 0.000 0.000
Th 2.391 -3.672 4.068
Th -0.548 -9.473 4.172
```


# 2
ThZn2Ag9 | PBE-GGA | optimized geometry

Values from the calculation:
**Volume**: 228.06 Å³/f.u.
**Fermi-level density of states**: 6.867 states/eV/f.u.
**DFT total energy**: -2.981 eV/atom
**DFT formation energy**: -0.0123 eV/atom

The structure in extended XYZ format:
```
24
Lattice="-2.459 -1.733 6.576 5.540 -4.734 4.801 1.925 5.804 6.225" Properties=species:S:1:pos:R:3 pbc="T T T"
Ag -0.429 0.447 6.353
Ag 5.520 2.127 9.021
Ag 1.888 -2.876 8.333
Ag 6.398 -0.431 8.675
Ag 0.000 0.000 0.000
Ag 1.440 1.347 4.438
Ag 2.850 2.026 9.984
Ag 4.298 -2.196 9.413
Ag 0.963 3.014 6.687
Ag 3.130 -3.303 5.833
Ag 3.833 -1.821 12.450
Ag 0.440 1.345 8.903
Ag 5.540 -2.622 6.913
Ag 2.955 0.737 12.796
Ag 0.448 -2.112 6.007
Ag 1.888 -0.764 10.445
Ag 3.373 3.695 7.767
Ag 2.317 -1.212 4.092
Zn 2.484 -3.615 10.911
Zn 4.676 0.153 10.736
Zn -0.286 -1.249 8.511
Zn 0.677 1.654 11.623
Th -1.230 -0.866 3.288
Th 3.118 0.102 7.157
```


# 3
ThZnAg | PBE-GGA | optimized geometry

Values from the calculation:
**Volume**: 65.79 Å³/f.u.
**Fermi-level density of states**: 2.646 states/eV/f.u.
**DFT total energy**: -3.946 eV/atom
**DFT formation energy**: -0.0978 eV/atom

The structure in extended XYZ format:
```
3
Lattice="-0.559 1.691 -2.887 -3.331 -0.555 0.320 1.406 4.298 4.238" Properties=species:S:1:pos:R:3 pbc="T T T"
Th -0.357 3.214 1.951
Zn -2.100 1.971 -0.431
Ag -0.027 0.248 0.151
```


# 4
ThZn3Ag9 | PBE-GGA | optimized geometry

Values from the calculation:
**Volume**: 239.63 Å³/f.u.
**Fermi-level density of states**: 4.804 states/eV/f.u.
**DFT total energy**: -2.911 eV/atom
**DFT formation energy**: -0.0722 eV/atom

The structure in extended XYZ format:
```
13
Lattice="4.898 -0.108 1.988 2.229 6.688 0.905 -0.082 -0.054 7.228" Properties=species:S:1:pos:R:3 pbc="T T T"
Ag 1.115 3.344 0.452
Ag 6.204 4.268 5.114
Ag 3.034 4.322 5.897
Ag 2.947 1.326 6.883
Ag 1.931 1.381 2.358
Ag 5.115 5.145 7.763
Ag 0.841 2.257 5.007
Ag 4.012 2.203 4.224
Ag 4.099 5.199 3.239
Zn -0.041 -0.027 3.614
Zn 3.564 3.290 1.447
Zn 2.408 -0.081 4.608
Th 0.000 0.000 0.000
```


# 5
Th2Zn3Ag | PBE-GGA | optimized geometry

Values from the calculation:
**Volume**: 132.04 Å³/f.u.
**Fermi-level density of states**: 5.872 states/eV/f.u.
**Relative energy among the computed polymorphs**: 0.0000 eV per atom
**DFT total energy**: -3.821 eV/atom
**DFT formation energy**: -0.2352 eV/atom

The structure in extended XYZ format:
```
12
Lattice="-3.589 -4.552 0.624 0.328 -1.623 5.590 -4.449 8.130 -1.287" Properties=species:S:1:pos:R:3 pbc="T T T"
Zn -1.989 1.649 0.595
Zn -1.798 -0.687 1.823
Zn -5.912 2.642 3.104
Zn -5.721 0.306 4.332
Zn -4.251 5.788 -0.062
Zn -3.459 -3.833 4.989
Th -2.583 -3.800 1.899
Th -4.834 0.245 1.222
Th -2.876 1.710 3.705
Th -0.678 -2.375 4.315
Ag -4.045 3.355 1.211
Ag -3.665 -1.400 3.716
```


# 6
Th3Zn8Ag3 | PBE-GGA | optimized geometry

Values from the calculation:
**Volume**: 274.90 Å³/f.u.
**Fermi-level density of states**: 10.370 states/eV/f.u.
**DFT total energy**: -3.166 eV/atom
**DFT formation energy**: -0.2370 eV/atom

The structure in extended XYZ format:
```
14
Lattice="-2.294 2.076 3.267 -7.650 1.462 -3.202 -5.928 -5.472 2.415" Properties=species:S:1:pos:R:3 pbc="T T T"
Zn -4.711 -1.964 1.039
Zn -5.875 -2.033 3.364
Zn -9.042 -3.741 2.226
Zn -10.688 -1.874 2.983
Zn -9.996 0.100 -0.885
Zn -5.184 -0.059 -0.503
Zn -6.829 1.808 0.253
Zn -11.161 0.030 1.440
Th -11.290 -2.776 0.035
Th -7.936 -0.967 1.240
Th -4.581 0.843 2.445
Ag -1.147 1.038 1.633
Ag -6.274 -4.077 1.285
Ag -7.304 0.067 -2.072
```